PBE+U ZnFe3F, relaxed; mass density = 5.49 g cm⁻³; size of the total moment = 9.9 μB per formula unit; DOS(E_F) = 0.79 states/eV per atom; offset from the most stable computed form = 0 meV per atom
1.0
-0.438 2.322 3.520
3.507 -1.765 1.601
2.342 3.077 -1.738
Zn Fe F
1 3 1
direct
0.500 0.500 0.500 Zn
0.000 0.500 0.000 Fe
0.000 0.000 0.500 Fe
0.500 0.000 0.000 Fe
0.000 0.000 0.000 F